This record from the Alexandria database describes an optimized crystal structure of PrSbPd. The functional is PBEsol.

Output
The total energy comes out at -6.310 eV/atom. As for the density of states at the Fermi level: 0.2570 states/eV/atom. For the volume, the calculation gives 287 Å³/cell. Its crystal system is hexagonal.

Unit cell a=4.5401 b=4.5401 c=16.0699 alpha=90.00 beta=90.00 gamma=120.00
With the nearest neighbours (Å) after each atom.
Space group P6_3/mmc (No. 194)
Asymmetric unit:
1 Pr 0.0000 0.0000 0.0000  6 Sb 3.25, 6 Pd 3.40
2 Pr 0.0000 0.0000 0.2500  6 Pd 3.21, 6 Sb 3.36
3 Sb 0.3333 0.6667 0.1194  3 Pd 2.63
4 Pd 0.3333 0.6667 0.6350  3 Sb 2.63

This record from the Alexandria database describes an optimized crystal structure of PrSiPd. The functional is PBEsol.

Output
The total energy comes out at -6.519 eV/atom. As for the density of states at the Fermi level: 0.7104 states/eV/atom. For the volume, the calculation gives 239 Å³/cell. Its crystal system is monoclinic.

Unit cell a=5.8047 b=5.7360 c=7.9096 alpha=90.00 beta=114.82 gamma=90.00
With the nearest neighbours (Å) after each atom.
Space group P2_1/c (No. 14)
Asymmetric unit:
1 Pr 0.2057 0.1323 0.3779  5 Pd 2.99-3.35, 5 Si 3.06-3.13
2 Si 0.2055 0.6315 0.5350  3 Pd 2.45-2.53, 1 Si 2.68
3 Pd 0.4006 0.6084 0.3031  3 Si 2.45-2.53

This record from the Alexandria database describes an optimized crystal structure of PrSiPd2. The functional is PBEsol.

Output
The total energy comes out at -6.643 eV/atom. As for the density of states at the Fermi level: 0.4052 states/eV/atom. For the volume, the calculation gives 291 Å³/cell. Its crystal system is orthorhombic.

Unit cell a=7.5009 b=6.8714 c=5.6513 alpha=90.00 beta=90.00 gamma=90.00
With the nearest neighbours (Å) after each atom.
Space group Pnma (No. 62)
Asymmetric unit:
1 Pr 0.0307 0.2500 0.1435  8 Pd 2.98-3.29, 3 Si 3.03-3.08
2 Si 0.1241 0.7500 0.3518  6 Pd 2.51-2.63
3 Pd 0.1733 0.0530 0.5926  3 Si 2.51-2.63, 1 Pd 2.71

This record from the Alexandria database describes an optimized crystal structure of PrSi2Pd2. The functional is PBEsol.

Output
The total energy comes out at -6.713 eV/atom. As for the density of states at the Fermi level: 0.4986 states/eV/atom. For the volume, the calculation gives 174 Å³/cell. Its crystal system is tetragonal.

Unit cell a=4.1956 b=4.1956 c=9.9081 alpha=90.00 beta=90.00 gamma=90.00
With the nearest neighbours (Å) after each atom.
Space group I4/mmm (No. 139)
Asymmetric unit:
1 Pr 0.0000 0.0000 0.0000  8 Si 3.20, 8 Pd 3.25
2 Si 0.0000 0.0000 0.3800  1 Si 2.38, 4 Pd 2.46
3 Pd 0.0000 0.5000 0.2500  4 Si 2.46

This record from the Alexandria database describes an optimized crystal structure of Pr3Si6Pd20. The functional is PBEsol.

Output
The total energy comes out at -6.651 eV/atom. As for the density of states at the Fermi level: 0.4294 states/eV/atom. For the volume, the calculation gives 1832 Å³/cell. Its crystal system is cubic.

Unit cell a=12.2359 b=12.2359 c=12.2359 alpha=90.00 beta=90.00 gamma=90.00
With the nearest neighbours (Å) after each atom.
Space group Fm-3m (No. 225)
Asymmetric unit:
1 Pr 0.0000 0.0000 0.0000  12 Pd 3.01, 6 Si 3.27
2 Pr 0.2500 0.2500 0.2500  4 Pd 2.87
3 Si 0.0000 0.0000 0.2672  8 Pd 2.41-2.45
4 Pd 0.0000 0.1737 0.1737  2 Si 2.41, 1 Pd 2.64
5 Pd 0.1146 0.1146 0.3854  3 Si 2.45

This record from the Alexandria database describes an optimized crystal structure of PrSnPd. The functional is PBEsol.

Output
The total energy comes out at -6.055 eV/atom. As for the density of states at the Fermi level: 0.7505 states/eV/atom. For the volume, the calculation gives 276 Å³/cell. Its crystal system is orthorhombic. The calculation puts the formation energy at -0.92 eV per atom.

Unit cell a=7.4645 b=4.6661 c=7.9162 alpha=90.00 beta=90.00 gamma=90.00
With the nearest neighbours (Å) after each atom.
Space group Pnma (No. 62)
Asymmetric unit:
1 Pr 0.0124 0.2500 0.1983  6 Pd 3.11-3.45, 6 Sn 3.24-3.37
2 Sn 0.1846 0.2500 0.5871  4 Pd 2.71-2.86
3 Pd 0.1990 0.7500 0.4142  4 Sn 2.71-2.86

This record from the Alexandria database describes an optimized crystal structure of PrSnPd. The functional is PBEsol.

Output
The total energy comes out at -6.066 eV/atom. As for the density of states at the Fermi level: 0.3209 states/eV/atom. For the volume, the calculation gives 203 Å³/cell. Its crystal system is hexagonal. The calculation puts the formation energy at -0.93 eV per atom.

Unit cell a=7.5541 b=7.5541 c=4.1137 alpha=90.00 beta=90.00 gamma=120.00
With the nearest neighbours (Å) after each atom.
Space group P-62m (No. 189)
Asymmetric unit:
1 Pr 0.0000 0.4129 0.0000  5 Pd 3.07-3.12, 6 Sn 3.27-3.41
2 Sn 0.0000 0.7495 0.5000  4 Pd 2.79-2.88
3 Pd 0.0000 0.0000 0.0000  6 Sn 2.79, 3 Pr 3.12
4 Pd 0.3333 0.6667 0.5000  3 Sn 2.88, 6 Pr 3.07

This record from the Alexandria database describes an optimized crystal structure of Pr3Sn6Pd4. The functional is PBEsol.

Output
The total energy comes out at -5.819 eV/atom. As for the density of states at the Fermi level: 0.4078 states/eV/atom. For the volume, the calculation gives 1186 Å³/cell. Its crystal system is orthorhombic. The calculation puts the formation energy at -0.82 eV per atom.

Unit cell a=16.7530 b=4.5861 c=15.4404 alpha=90.00 beta=90.00 gamma=90.00
With the nearest neighbours (Å) after each atom.
Space group Pnma (No. 62)
Asymmetric unit:
1 Pr 0.1171 0.2500 0.2466  9 Sn 3.34-3.71, 6 Pd 3.42-3.62
2 Pr 0.1421 0.7500 0.6158  6 Pd 3.39-3.48, 9 Sn 3.42-3.64
3 Pr 0.1496 0.2500 0.9818  8 Sn 3.25-3.30, 6 Pd 3.29-3.54
4 Sn 0.0250 0.7500 0.9197  3 Pd 2.62-2.81
5 Sn 0.0527 0.2500 0.4609  4 Pd 2.63-2.70
6 Sn 0.0563 0.2500 0.7688  3 Pd 2.57-2.68
7 Sn 0.1724 0.7500 0.3916  4 Pd 2.68-2.70
8 Sn 0.1872 0.7500 0.8354  3 Pd 2.59-2.73
9 Sn 0.2066 0.7500 0.1185  3 Pd 2.60-2.67
10 Pd 0.0126 0.7500 0.3801  5 Sn 2.57-2.70
11 Pd 0.0479 0.7500 0.1002  5 Sn 2.62-2.81
12 Pd 0.2096 0.2500 0.4718  5 Sn 2.63-2.73
13 Pd 0.2163 0.2500 0.7646  5 Sn 2.59-2.70

This record from the Alexandria database describes an optimized crystal structure of RbSn2PdPt. The functional is PBEsol.

Output
The total energy comes out at -2.617 eV/atom. As for the density of states at the Fermi level: 0.7490 states/eV/atom. For the volume, the calculation gives 155 Å³/cell. Its crystal system is tetragonal. The calculation puts the formation energy at 1.88 eV per atom.

Unit cell a=5.7013 b=5.7013 c=4.7624 alpha=90.00 beta=90.00 gamma=90.00
With the nearest neighbours (Å) after each atom.
Space group P4/mmm (No. 123)
Asymmetric unit:
1 Rb 0.0000 0.0000 0.0000  2 Pd 2.38
2 Sn 0.0000 0.5000 0.0000  2 Rb 2.85
3 Pd 0.0000 0.0000 0.5000  2 Rb 2.38
4 Pt 0.5000 0.5000 0.5000  8 Sn 3.71, 4 Pd 4.03

This record from the Alexandria database describes an optimized crystal structure of PdPt2Rh. The functional is PBEsol.

Output
The total energy comes out at -6.845 eV/atom. As for the density of states at the Fermi level: 1.4405 states/eV/atom. For the volume, the calculation gives 234 Å³/cell. Its crystal system is cubic. The calculation puts the formation energy at 0.16 eV per atom.

Unit cell a=6.1659 b=6.1659 c=6.1659 alpha=90.00 beta=90.00 gamma=90.00
With the nearest neighbours (Å) after each atom.
Space group Fm-3m (No. 225)
Asymmetric unit:
1 Pd 0.0000 0.0000 0.0000  8 Pt 2.67
2 Pt 0.2500 0.2500 0.2500  4 Rh 2.67, 4 Pd 2.67
3 Rh 0.0000 0.0000 0.5000  8 Pt 2.67

This record from the Alexandria database describes an optimized crystal structure of Pd2RuPtS. The functional is PBEsol.

Output
The total energy comes out at -5.061 eV/atom. As for the density of states at the Fermi level: 1.9684 states/eV/atom. For the volume, the calculation gives 106 Å³/cell. Its crystal system is tetragonal.

Unit cell a=4.8162 b=4.8162 c=4.5767 alpha=90.00 beta=90.00 gamma=90.00
With the nearest neighbours (Å) after each atom.
Space group P4/mmm (No. 123)
Asymmetric unit:
1 Pd 0.0000 0.5000 0.0000  2 Pt 2.41
2 Ru 0.0000 0.0000 0.5000  2 Pt 2.29
3 Pt 0.0000 0.0000 0.0000  2 Ru 2.29, 4 Pd 2.41
4 S 0.5000 0.5000 0.5000  8 Pd 3.32, 4 Ru 3.41

This record from the Alexandria database describes an optimized crystal structure of SnPdRuPt2. The functional is PBEsol.

Output
The total energy comes out at -5.529 eV/atom. As for the density of states at the Fermi level: 1.0259 states/eV/atom. For the volume, the calculation gives 104 Å³/cell. Its crystal system is tetragonal. The calculation puts the formation energy at 1.33 eV per atom.

Unit cell a=4.8359 b=4.8359 c=4.4636 alpha=90.00 beta=90.00 gamma=90.00
With the nearest neighbours (Å) after each atom.
Space group P4/mmm (No. 123)
Asymmetric unit:
1 Sn 0.0000 0.0000 0.0000  8 Pt 3.29, 4 Ru 3.42
2 Pd 0.5000 0.5000 0.5000  2 Ru 2.23, 4 Pt 2.42
3 Ru 0.5000 0.5000 0.0000  2 Pd 2.23
4 Pt 0.0000 0.5000 0.5000  2 Pd 2.42

This record from the Alexandria database describes an optimized crystal structure of PdPtS2. The functional is PBEsol.

Output
The total energy comes out at -5.500 eV/atom. As for the density of states at the Fermi level: 0.8811 states/eV/atom. For the volume, the calculation gives 304 Å³/cell. Its crystal system is tetragonal.

Unit cell a=5.4192 b=5.4192 c=10.3359 alpha=90.00 beta=90.00 gamma=90.00
With the nearest neighbours (Å) after each atom.
Space group I-42d (No. 122)
Asymmetric unit:
1 Pd 0.0000 0.0000 0.0000  4 S 2.33
2 Pt 0.0000 0.0000 0.5000  4 S 2.29
3 S 0.2448 0.2500 0.6250  2 Pt 2.29, 2 Pd 2.33

This record from the Alexandria database describes an optimized crystal structure of TiSbPd2Pt. The functional is PBEsol.

Output
The total energy comes out at -5.599 eV/atom. As for the density of states at the Fermi level: 0.4636 states/eV/atom. For the volume, the calculation gives 101 Å³/cell. Its crystal system is tetragonal.

Unit cell a=4.4773 b=4.4773 c=5.0388 alpha=90.00 beta=90.00 gamma=90.00
With the nearest neighbours (Å) after each atom.
Space group P4/mmm (No. 123)
Asymmetric unit:
1 Ti 0.0000 0.0000 0.0000  4 Pd 2.24
2 Sb 0.0000 0.0000 0.5000  2 Ti 2.52
3 Pd 0.0000 0.5000 0.0000  2 Ti 2.24
4 Pt 0.5000 0.5000 0.5000  4 Sb 3.17, 8 Pd 3.37

This record from the Alexandria database describes an optimized crystal structure of ScPdPt3. The functional is PBEsol.

Output
The total energy comes out at -5.774 eV/atom. As for the density of states at the Fermi level: 0.6175 states/eV/atom. For the volume, the calculation gives 100 Å³/cell. Its crystal system is cubic. The calculation puts the formation energy at 0.92 eV per atom.

Unit cell a=4.6448 b=4.6448 c=4.6448 alpha=90.00 beta=90.00 gamma=90.00
With the nearest neighbours (Å) after each atom.
Space group Pm-3m (No. 221)
Asymmetric unit:
1 Sc 0.0000 0.0000 0.0000  6 Pt 2.32
2 Pd 0.5000 0.5000 0.5000  12 Pt 3.28
3 Pt 0.0000 0.0000 0.5000  2 Sc 2.32

This record from the Alexandria database describes an optimized crystal structure of ScTlPdPt2. The functional is PBEsol.

Output
The total energy comes out at -5.348 eV/atom. As for the density of states at the Fermi level: 0.5102 states/eV/atom. For the volume, the calculation gives 110 Å³/cell. Its crystal system is tetragonal. The calculation puts the formation energy at 0.48 eV per atom.

Unit cell a=4.8204 b=4.8204 c=4.7256 alpha=90.00 beta=90.00 gamma=90.00
With the nearest neighbours (Å) after each atom.
Space group P4/mmm (No. 123)
Asymmetric unit:
1 Sc 0.0000 0.0000 0.0000  2 Pd 2.36, 4 Pt 2.41
2 Tl 0.5000 0.5000 0.5000  8 Pt 3.38, 4 Pd 3.41
3 Pd 0.0000 0.0000 0.5000  2 Sc 2.36
4 Pt 0.0000 0.5000 0.0000  2 Sc 2.41

This record from the Alexandria database describes an optimized crystal structure of YScPdPt2. The functional is PBEsol.

Output
The total energy comes out at -5.569 eV/atom. As for the density of states at the Fermi level: 0.8806 states/eV/atom. For the volume, the calculation gives 118 Å³/cell. Its crystal system is tetragonal. The calculation puts the formation energy at 1.09 eV per atom.

Unit cell a=4.8572 b=4.8572 c=5.0039 alpha=90.00 beta=90.00 gamma=90.00
With the nearest neighbours (Å) after each atom.
Space group P4/mmm (No. 123)
Asymmetric unit:
1 Y 0.0000 0.0000 0.0000  4 Pt 2.43, 2 Sc 2.50
2 Sc 0.0000 0.0000 0.5000  2 Y 2.50
3 Pd 0.5000 0.5000 0.5000  4 Sc 3.43, 8 Pt 3.49
4 Pt 0.0000 0.5000 0.0000  2 Y 2.43

This record from the Alexandria database describes an optimized crystal structure of SiPdPt2. The functional is PBEsol.

Output
The total energy comes out at -6.832 eV/atom. As for the density of states at the Fermi level: 0.4036 states/eV/atom. For the volume, the calculation gives 244 Å³/cell. Its crystal system is tetragonal.

Unit cell a=6.8884 b=6.8884 c=5.1334 alpha=90.00 beta=90.00 gamma=90.00
With the nearest neighbours (Å) after each atom.
Space group I-42d (No. 122)
Asymmetric unit:
1 Si 0.0000 0.0000 0.0000  4 Pt 2.33, 2 Pd 2.57
2 Pd 0.0000 0.0000 0.5000  2 Si 2.57, 4 Pt 2.73
3 Pt 0.2068 0.7500 0.1250  2 Si 2.33

This record from the Alexandria database describes an optimized crystal structure of Sn2Pd3Pt3. The functional is PBEsol.

Output
The total energy comes out at -6.395 eV/atom. As for the density of states at the Fermi level: 0.2986 states/eV/atom. For the volume, the calculation gives 126 Å³/cell. Its crystal system is orthorhombic. The calculation puts the formation energy at -0.48 eV per atom.

Unit cell a=3.9808 b=3.9878 c=7.9618 alpha=90.00 beta=90.00 gamma=90.00
With the nearest neighbours (Å) after each atom.
Space group Pmmm (No. 47)
Asymmetric unit:
1 Sn 0.0000 0.0000 0.2479  6 Pt 2.80-2.83, 6 Pd 2.81-2.82
2 Pd 0.0000 0.5000 0.0000  4 Sn 2.81, 4 Pd 2.81, 4 Pt 2.82
3 Pd 0.5000 0.5000 0.2499  2 Pd 2.81, 6 Pt 2.82, 4 Sn 2.82
4 Pt 0.0000 0.5000 0.5000  4 Pd 2.82, 4 Pt 2.82, 4 Sn 2.83
5 Pt 0.5000 0.0000 0.0000  4 Sn 2.80, 8 Pd 2.82
6 Pt 0.5000 0.0000 0.5000  4 Pt 2.82, 4 Pd 2.82, 4 Sn 2.83

This record from the Alexandria database describes an optimized crystal structure of Sr2PdPt. The functional is PBEsol.

Output
The total energy comes out at -4.718 eV/atom. As for the density of states at the Fermi level: 0.1673 states/eV/atom. For the volume, the calculation gives 381 Å³/cell. Its crystal system is cubic. The calculation puts the formation energy at -0.57 eV per atom.

Unit cell a=7.2517 b=7.2517 c=7.2517 alpha=90.00 beta=90.00 gamma=90.00
With the nearest neighbours (Å) after each atom.
Space group Fm-3m (No. 225)
Asymmetric unit:
1 Sr 0.2500 0.2500 0.2500  4 Pd 3.14, 4 Pt 3.14
2 Pd 0.0000 0.0000 0.0000  8 Sr 3.14
3 Pt 0.0000 0.0000 0.5000  8 Sr 3.14

Going through the records in order, we get total magnetic moment values of 0.000 0.000 0.000 0.000 0.002 0.000 0.000 0.000 0.000 0.001 1.137 0.000 0.001 0.000 0.000 0.000 0.000 0.000 0.000 0.000 Bohr magnetons per cell.